[1]
DFT (PBE) results for a geometry-optimized Tb4ScZn3 structure.

Calculated values
spin magnetization: 0.01 μB/f.u.
energy of formation from the pure elements: -18.4 kJ/mol of atoms

```
data_Tb4ScZn3
_space_group_name_H-M_alt 'P 1'
_space_group_IT_number 1
_cell_length_a 3.607
_cell_length_b 5.147
_cell_length_c 10.416
_cell_angle_alpha 90.00
_cell_angle_beta 90.00
_cell_angle_gamma 90.00
loop_
_space_group_symop_operation_xyz
'x,y,z'
loop_
_atom_site_label
_atom_site_type_symbol
_atom_site_fract_x
_atom_site_fract_y
_atom_site_fract_z
Tb1 Tb 0.000 0.000 0.000
Tb2 Tb 0.000 0.000 0.500
Tb3 Tb 0.000 0.500 0.235
Tb4 Tb 0.000 0.500 0.765
Sc1 Sc 0.500 0.500 0.500
Zn1 Zn 0.500 0.000 0.256
Zn2 Zn 0.500 0.000 0.744
Zn3 Zn 0.500 0.500 0.000
```

[2]
DFT (PBE) results for a geometry-optimized Tb2ScZn3 structure.

Calculated values
spin magnetization: 0.00 μB/f.u.
energy of formation from the pure elements: -32.4 kJ/mol of atoms

```
data_Tb2ScZn3
_space_group_name_H-M_alt 'P 1'
_space_group_IT_number 1
_cell_length_a 4.963
_cell_length_b 4.963
_cell_length_c 6.096
_cell_angle_alpha 90.00
_cell_angle_beta 90.00
_cell_angle_gamma 120.00
loop_
_space_group_symop_operation_xyz
'x,y,z'
loop_
_atom_site_label
_atom_site_type_symbol
_atom_site_fract_x
_atom_site_fract_y
_atom_site_fract_z
Tb1 Tb 0.333 0.667 0.180
Tb2 Tb 0.667 0.333 0.820
Sc1 Sc 0.000 0.000 0.500
Zn1 Zn 0.000 0.000 0.000
Zn2 Zn 0.333 0.667 0.666
Zn3 Zn 0.667 0.333 0.334
```

[3]
DFT (PBE) results for a geometry-optimized Tb5ScZn6 structure.

Calculated values
spin magnetization: 0.00 μB/f.u.
energy of formation from the pure elements: -32.3 kJ/mol of atoms

```
data_Tb5ScZn6
_space_group_name_H-M_alt 'P 1'
_space_group_IT_number 1
_cell_length_a 7.930
_cell_length_b 7.930
_cell_length_c 7.127
_cell_angle_alpha 90.00
_cell_angle_beta 90.00
_cell_angle_gamma 143.33
loop_
_space_group_symop_operation_xyz
'x,y,z'
loop_
_atom_site_label
_atom_site_type_symbol
_atom_site_fract_x
_atom_site_fract_y
_atom_site_fract_z
Tb1 Tb 0.000 0.000 0.000
Tb2 Tb 0.330 0.670 0.000
Tb3 Tb 0.335 0.665 0.500
Tb4 Tb 0.665 0.335 0.500
Tb5 Tb 0.670 0.330 0.000
Sc1 Sc 0.000 0.000 0.500
Zn1 Zn 0.161 0.839 0.259
Zn2 Zn 0.161 0.839 0.741
Zn3 Zn 0.500 0.500 0.261
Zn4 Zn 0.500 0.500 0.739
Zn5 Zn 0.839 0.161 0.259
Zn6 Zn 0.839 0.161 0.741
```